Entry 1
Computed, not measured: a geometry-optimized PuCu3S3 structure at the GGA-PBE level of DFT.

Properties
As for the space group: R-3. Its crystal system is trigonal. Its total magnetization is 5.0 μB/f.u. The density comes out at 7.02 g/cm3. As for the calculated volume: 17.9 Å³ per atom.

Unit cell a=7.518 b=7.518 c=7.518 alpha=52.98 beta=52.98 gamma=52.98
Element x y z (fractional)
Pu1 0.166 0.166 0.166
Pu2 0.834 0.834 0.834
Cu1 0.036 0.378 0.713
Cu2 0.287 0.964 0.622
Cu3 0.378 0.713 0.036
Cu4 0.622 0.287 0.964
Cu5 0.713 0.036 0.378
Cu6 0.964 0.622 0.287
S1 0.081 0.749 0.416
S2 0.251 0.584 0.919
S3 0.416 0.081 0.749
S4 0.584 0.919 0.251
S5 0.749 0.416 0.081
S6 0.919 0.251 0.584

***

Entry 2
Computed, not measured: a geometry-optimized PuCu3S3 structure at the GGA-PBE level of DFT.

Properties
As for the space group: P6_3/m. Its crystal system is hexagonal. Its total magnetization is 4.8 μB/f.u. The density comes out at 7.80 g/cm3. As for the calculated volume: 16.1 Å³ per atom.

Unit cell a=8.172 b=8.172 c=3.906 alpha=90.00 beta=90.00 gamma=120.00
Element x y z (fractional)
Pu1 0.333 0.667 0.250
Pu2 0.667 0.333 0.750
Cu1 0.008 0.802 0.250
Cu2 0.198 0.206 0.250
Cu3 0.206 0.008 0.750
Cu4 0.794 0.992 0.250
Cu5 0.802 0.794 0.750
Cu6 0.992 0.198 0.750
S1 0.079 0.678 0.750
S2 0.322 0.401 0.750
S3 0.401 0.079 0.250
S4 0.599 0.921 0.750
S5 0.678 0.599 0.250
S6 0.921 0.322 0.250

***

Calculated relative energies: entry 1 0.0; entry 2 8.7, given in kJ/mol of atoms

***

Entry 1
Computed, not measured: a geometry-optimized PuSc2Cu structure at the GGA-PBE level of DFT.

Properties
As for the space group: R3m. Its crystal system is trigonal. Its total magnetization is 6.0 μB/f.u. The density comes out at 7.36 g/cm3. As for the calculated volume: 22.4 Å³ per atom.

Unit cell a=9.556 b=9.556 c=9.556 alpha=20.05 beta=20.05 gamma=20.05
Element x y z (fractional)
Pu1 0.000 0.000 0.000
Sc1 0.237 0.237 0.237
Sc2 0.431 0.431 0.431
Cu1 0.835 0.835 0.835

***

Entry 2
Computed, not measured: a geometry-optimized PuSc2Cu structure at the GGA-PBE level of DFT.

Properties
As for the space group: P4/mmm. Its crystal system is tetragonal. Its total magnetization is 6.2 μB/f.u. The density comes out at 7.76 g/cm3. As for the calculated volume: 21.3 Å³ per atom.

Unit cell a=3.262 b=3.262 c=7.994 alpha=90.00 beta=90.00 gamma=90.00
Element x y z (fractional)
Pu1 0.000 0.000 0.000
Sc1 0.500 0.500 0.299
Sc2 0.500 0.500 0.701
Cu1 0.000 0.000 0.500

***

Calculated relative energies: entry 1 14.5; entry 2 0.0, given in kJ/mol of atoms

***

Entry 1
Computed, not measured: a geometry-optimized Pu2CuSi3 structure at the GGA-PBE level of DFT.

Properties
As for the space group: Pmm2. Its crystal system is orthorhombic. Its total magnetization is 0.1 μB/f.u. The density comes out at 9.30 g/cm3. As for the calculated volume: 18.9 Å³ per atom.

Unit cell a=4.029 b=4.031 c=6.988 alpha=90.00 beta=90.00 gamma=90.00
Element x y z (fractional)
Pu1 0.000 0.000 0.000
Pu2 0.000 0.500 0.487
Cu1 0.500 0.500 0.823
Si1 0.500 0.000 0.329
Si2 0.500 0.000 0.666
Si3 0.500 0.500 0.154

***

Entry 2
Computed, not measured: a geometry-optimized Pu2CuSi3 structure at the GGA-PBE level of DFT.

Properties
As for the space group: Fmmm. Its crystal system is orthorhombic. Its total magnetization is 11.0 μB/f.u. The density comes out at 9.25 g/cm3. As for the calculated volume: 19.0 Å³ per atom.

Unit cell a=8.071 b=8.064 c=5.718 alpha=69.30 beta=69.18 gamma=41.51
Element x y z (fractional)
Pu1 0.245 0.755 0.245
Pu2 0.250 0.250 0.250
Pu3 0.750 0.750 0.750
Pu4 0.755 0.245 0.755
Cu1 0.334 0.334 0.666
Cu2 0.666 0.666 0.334
Si1 0.168 0.168 0.832
Si2 0.169 0.663 0.831
Si3 0.337 0.831 0.663
Si4 0.663 0.169 0.337
Si5 0.831 0.337 0.169
Si6 0.832 0.832 0.168

***

Calculated relative energies: entry 1 2.0; entry 2 0.0, given in kJ/mol of atoms

***

Entry 1
Computed, not measured: a geometry-optimized TbPuCu2 structure at the GGA-PBE level of DFT.

Properties
As for the space group: P4/mmm. Its crystal system is tetragonal. Its total magnetization is 5.6 μB/f.u. The density comes out at 10.51 g/cm3. As for the calculated volume: 20.9 Å³ per atom.

Unit cell a=3.434 b=3.434 c=7.100 alpha=90.00 beta=90.00 gamma=90.00
Element x y z (fractional)
Tb1 0.000 0.000 0.000
Pu1 0.000 0.000 0.500
Cu1 0.500 0.500 0.239
Cu2 0.500 0.500 0.761

***

Entry 2
Computed, not measured: a geometry-optimized TbPuCu2 structure at the GGA-PBE level of DFT.

Properties
As for the space group: Fm-3m. Its crystal system is cubic. Its total magnetization is 5.6 μB/f.u. The density comes out at 10.38 g/cm3. As for the calculated volume: 21.2 Å³ per atom.

Unit cell a=4.931 b=4.931 c=4.931 alpha=60.00 beta=60.00 gamma=60.00
Element x y z (fractional)
Tb1 0.000 0.000 0.000
Pu1 0.500 0.500 0.500
Cu1 0.250 0.250 0.250
Cu2 0.750 0.750 0.750

***

Calculated relative energies: entry 1 0.0; entry 2 4.0, given in kJ/mol of atoms

***

Entry 1
Computed, not measured: a geometry-optimized TbPuCu4 structure at the GGA-PBE level of DFT.

Properties
As for the space group: F-43m. Its crystal system is cubic. Its total magnetization is 5.9 μB/f.u. The density comes out at 10.63 g/cm3. As for the calculated volume: 17.1 Å³ per atom.

Unit cell a=5.256 b=5.256 c=5.256 alpha=60.00 beta=60.00 gamma=60.00
Element x y z (fractional)
Tb1 0.000 0.000 0.000
Pu1 0.250 0.250 0.250
Cu1 0.124 0.625 0.625
Cu2 0.625 0.124 0.625
Cu3 0.625 0.625 0.124
Cu4 0.625 0.625 0.625

***

Entry 2
Computed, not measured: a geometry-optimized TbPuCu4 structure at the GGA-PBE level of DFT.

Properties
As for the space group: Pmmm. Its crystal system is orthorhombic. Its total magnetization is 0.0 μB/f.u. The density comes out at 10.92 g/cm3. As for the calculated volume: 16.7 Å³ per atom.

Unit cell a=2.933 b=4.451 c=7.654 alpha=90.00 beta=90.00 gamma=90.00
Element x y z (fractional)
Tb1 0.000 0.000 0.000
Pu1 0.000 0.500 0.500
Cu1 0.500 0.000 0.337
Cu2 0.500 0.000 0.663
Cu3 0.500 0.500 0.170
Cu4 0.500 0.500 0.830

***

Calculated relative energies: entry 1 0.0; entry 2 26.9, given in kJ/mol of atoms

***

Entry 1
Computed, not measured: a geometry-optimized PuCuTc2 structure at the GGA-PBE level of DFT.

Properties
As for the space group: Fm-3m. Its crystal system is cubic. Its total magnetization is 3.4 μB/f.u. The density comes out at 13.23 g/cm3. As for the calculated volume: 15.8 Å³ per atom.

Unit cell a=4.471 b=4.471 c=4.471 alpha=60.00 beta=60.00 gamma=60.00
Element x y z (fractional)
Pu1 0.000 0.000 0.000
Cu1 0.500 0.500 0.500
Tc1 0.250 0.250 0.250
Tc2 0.750 0.750 0.750

***

Entry 2
Computed, not measured: a geometry-optimized PuCuTc2 structure at the GGA-PBE level of DFT.

Properties
As for the space group: P4/mmm. Its crystal system is tetragonal. Its total magnetization is 2.5 μB/f.u. The density comes out at 13.26 g/cm3. As for the calculated volume: 15.8 Å³ per atom.

Unit cell a=4.218 b=4.218 c=3.544 alpha=90.00 beta=90.00 gamma=90.00
Element x y z (fractional)
Pu1 0.000 0.000 0.000
Cu1 0.500 0.500 0.000
Tc1 0.000 0.500 0.500
Tc2 0.500 0.000 0.500

***

Calculated relative energies: entry 1 7.5; entry 2 0.0, given in kJ/mol of atoms

***

Entry 1
Computed, not measured: a geometry-optimized PuCuTc structure at the GGA-PBE level of DFT.

Properties
As for the space group: I4/mmm. Its crystal system is tetragonal. Its total magnetization is 4.1 μB/f.u. The density comes out at 12.03 g/cm3. As for the calculated volume: 18.7 Å³ per atom.

Unit cell a=6.783 b=6.783 c=6.783 alpha=143.07 beta=143.07 gamma=53.23
Element x y z (fractional)
Pu1 0.152 0.152 0.000
Pu2 0.848 0.848 0.000
Cu1 0.382 0.382 0.000
Cu2 0.618 0.618 0.000
Tc1 0.000 0.500 0.500
Tc2 0.500 0.000 0.500

***

Entry 2
Computed, not measured: a geometry-optimized PuCuTc structure at the GGA-PBE level of DFT.

Properties
As for the space group: Imma. Its crystal system is orthorhombic. Its total magnetization is 4.7 μB/f.u. The density comes out at 13.07 g/cm3. As for the calculated volume: 17.2 Å³ per atom.

Unit cell a=5.381 b=5.381 c=5.381 alpha=126.27 beta=121.15 gamma=83.75
Element x y z (fractional)
Pu1 0.378 0.128 0.250
Pu2 0.622 0.872 0.750
Cu1 0.000 0.000 0.500
Cu2 0.000 0.500 0.000
Tc1 0.000 0.500 0.500
Tc2 0.500 0.500 0.000

***

Calculated relative energies: entry 1 13.5; entry 2 0.0, given in kJ/mol of atoms

***

Entry 1
Computed, not measured: a geometry-optimized Pu2CuTe structure at the GGA-PBE level of DFT.

Properties
As for the space group: Fm-3m. Its crystal system is cubic. Its total magnetization is 13.0 μB/f.u. The density comes out at 11.48 g/cm3. As for the calculated volume: 24.6 Å³ per atom.

Unit cell a=5.179 b=5.179 c=5.179 alpha=60.00 beta=60.00 gamma=60.00
Element x y z (fractional)
Pu1 0.250 0.250 0.250
Pu2 0.750 0.750 0.750
Cu1 0.000 0.000 0.000
Te1 0.500 0.500 0.500

***

Entry 2
Computed, not measured: a geometry-optimized Pu2CuTe structure at the GGA-PBE level of DFT.

Properties
As for the space group: R-3m. Its crystal system is trigonal. Its total magnetization is 12.5 μB/f.u. The density comes out at 10.12 g/cm3. As for the calculated volume: 27.8 Å³ per atom.

Unit cell a=7.326 b=7.326 c=7.326 alpha=34.30 beta=34.30 gamma=34.30
Element x y z (fractional)
Pu1 0.240 0.240 0.240
Pu2 0.760 0.760 0.760
Cu1 0.500 0.500 0.500
Te1 0.000 0.000 0.000

***

Entry 3
Computed, not measured: a geometry-optimized Pu2CuTe structure at the GGA-PBE level of DFT.

Properties
As for the space group: P4/mmm. Its crystal system is tetragonal. Its total magnetization is 12.4 μB/f.u. The density comes out at 11.58 g/cm3. As for the calculated volume: 24.3 Å³ per atom.

Unit cell a=4.980 b=4.980 c=3.927 alpha=90.00 beta=90.00 gamma=90.00
Element x y z (fractional)
Pu1 0.000 0.500 0.000
Pu2 0.500 0.000 0.000
Cu1 0.000 0.000 0.500
Te1 0.500 0.500 0.500

***

Calculated relative energies: entry 1 2.7; entry 2 8.5; entry 3 0.0, given in kJ/mol of atoms

***

Entry 1
Computed, not measured: a geometry-optimized PuThCu structure at the GGA-PBE level of DFT.

Properties
As for the space group: I4mm. Its crystal system is tetragonal. Its total magnetization is 6.3 μB/f.u. The density comes out at 12.31 g/cm3. As for the calculated volume: 24.3 Å³ per atom.

Unit cell a=6.221 b=6.221 c=6.221 alpha=146.56 beta=146.56 gamma=48.01
Element x y z (fractional)
Pu1 0.000 0.000 0.000
Th1 0.295 0.295 0.000
Cu1 0.648 0.648 0.000

***

Entry 2
Computed, not measured: a geometry-optimized PuThCu structure at the GGA-PBE level of DFT.

Properties
As for the space group: P3m1. Its crystal system is trigonal. Its total magnetization is 5.6 μB/f.u. The density comes out at 12.79 g/cm3. As for the calculated volume: 23.4 Å³ per atom.

Unit cell a=4.817 b=4.817 c=3.485 alpha=90.00 beta=90.00 gamma=120.00
Element x y z (fractional)
Pu1 0.000 0.000 0.000
Th1 0.333 0.667 0.624
Cu1 0.667 0.333 0.273

***

Entry 3
Computed, not measured: a geometry-optimized PuThCu structure at the GGA-PBE level of DFT.

Properties
As for the space group: Pnma. Its crystal system is orthorhombic. Its total magnetization is 0.0 μB/f.u. The density comes out at 12.86 g/cm3. As for the calculated volume: 23.2 Å³ per atom.

Unit cell a=10.871 b=3.508 c=7.307 alpha=90.00 beta=90.00 gamma=90.00
Element x y z (fractional)
Pu1 0.065 0.250 0.033
Pu2 0.435 0.750 0.533
Pu3 0.565 0.250 0.467
Pu4 0.935 0.750 0.967
Th1 0.113 0.250 0.635
Th2 0.387 0.750 0.135
Th3 0.613 0.250 0.865
Th4 0.887 0.750 0.365
Cu1 0.167 0.750 0.331
Cu2 0.333 0.250 0.831
Cu3 0.667 0.750 0.169
Cu4 0.833 0.250 0.669

***

Calculated relative energies: entry 1 0.0; entry 2 7.2; entry 3 20.8, given in kJ/mol of atoms

***

Entry 1
Computed, not measured: a geometry-optimized PuThCu4 structure at the GGA-PBE level of DFT.

Properties
As for the space group: F-43m. Its crystal system is cubic. Its total magnetization is 6.1 μB/f.u. The density comes out at 11.55 g/cm3. As for the calculated volume: 17.5 Å³ per atom.

Unit cell a=5.295 b=5.295 c=5.295 alpha=60.00 beta=60.00 gamma=60.00
Element x y z (fractional)
Pu1 0.000 0.000 0.000
Th1 0.750 0.750 0.750
Cu1 0.375 0.375 0.375
Cu2 0.375 0.375 0.875
Cu3 0.375 0.875 0.375
Cu4 0.875 0.375 0.375

***

Entry 2
Computed, not measured: a geometry-optimized PuThCu4 structure at the GGA-PBE level of DFT.

Properties
As for the space group: I-4m2. Its crystal system is tetragonal. Its total magnetization is 5.9 μB/f.u. The density comes out at 10.29 g/cm3. As for the calculated volume: 19.6 Å³ per atom.

Unit cell a=8.155 b=8.155 c=8.155 alpha=152.18 beta=152.18 gamma=39.75
Element x y z (fractional)
Pu1 0.000 0.000 0.000
Th1 0.250 0.750 0.500
Cu1 0.421 0.421 0.000
Cu2 0.579 0.579 0.000
Cu3 0.670 0.170 0.500
Cu4 0.830 0.330 0.500

***

Calculated relative energies: entry 1 1.0; entry 2 0.0, given in kJ/mol of atoms

***

Entry 1
Computed, not measured: a geometry-optimized PuTh2Cu structure at the GGA-PBE level of DFT.

Properties
As for the space group: Fm-3m. Its crystal system is cubic. Its total magnetization is 7.2 μB/f.u. The density comes out at 12.95 g/cm3. As for the calculated volume: 24.7 Å³ per atom.

Unit cell a=5.191 b=5.191 c=5.191 alpha=60.00 beta=60.00 gamma=60.00
Element x y z (fractional)
Pu1 0.000 0.000 0.000
Th1 0.250 0.250 0.250
Th2 0.750 0.750 0.750
Cu1 0.500 0.500 0.500

***

Entry 2
Computed, not measured: a geometry-optimized PuTh2Cu structure at the GGA-PBE level of DFT.

Properties
As for the space group: R3m. Its crystal system is trigonal. Its total magnetization is 5.6 μB/f.u. The density comes out at 11.80 g/cm3. As for the calculated volume: 27.2 Å³ per atom.

Unit cell a=9.955 b=9.955 c=9.955 alpha=20.77 beta=20.77 gamma=20.77
Element x y z (fractional)
Pu1 0.000 0.000 0.000
Th1 0.575 0.575 0.575
Th2 0.762 0.762 0.762
Cu1 0.170 0.170 0.170

***

Entry 3
Computed, not measured: a geometry-optimized PuTh2Cu structure at the GGA-PBE level of DFT.

Properties
As for the space group: P4/mmm. Its crystal system is tetragonal. Its total magnetization is 5.7 μB/f.u. The density comes out at 12.78 g/cm3. As for the calculated volume: 25.1 Å³ per atom.

Unit cell a=5.379 b=5.379 c=3.466 alpha=90.00 beta=90.00 gamma=90.00
Element x y z (fractional)
Pu1 0.000 0.000 0.000
Th1 0.000 0.500 0.500
Th2 0.500 0.000 0.500
Cu1 0.500 0.500 0.000

***

Calculated relative energies: entry 1 9.4; entry 2 12.6; entry 3 0.0, given in kJ/mol of atoms

***

Entry 1
Computed, not measured: a geometry-optimized PuThCu2 structure at the GGA-PBE level of DFT.

Properties
As for the space group: R-3m. Its crystal system is trigonal. Its total magnetization is 6.0 μB/f.u. The density comes out at 10.37 g/cm3. As for the calculated volume: 24.1 Å³ per atom.

Unit cell a=8.236 b=8.236 c=8.236 alpha=26.29 beta=26.29 gamma=26.29
Element x y z (fractional)
Pu1 0.000 0.000 0.000
Th1 0.500 0.500 0.500
Cu1 0.249 0.249 0.249
Cu2 0.751 0.751 0.751

***

Entry 2
Computed, not measured: a geometry-optimized PuThCu2 structure at the GGA-PBE level of DFT.

Properties
As for the space group: P4/mmm. Its crystal system is tetragonal. Its total magnetization is 5.8 μB/f.u. The density comes out at 11.48 g/cm3. As for the calculated volume: 21.8 Å³ per atom.

Unit cell a=3.511 b=3.511 c=7.074 alpha=90.00 beta=90.00 gamma=90.00
Element x y z (fractional)
Pu1 0.000 0.000 0.000
Th1 0.000 0.000 0.500
Cu1 0.500 0.500 0.243
Cu2 0.500 0.500 0.757

***

Calculated relative energies: entry 1 22.2; entry 2 0.0, given in kJ/mol of atoms